# AcDy4Zn5

A relaxed AcDy4Zn5 crystal (PBE-GGA, the Alexandria database).

Cell: 3.6319 3.6319 18.2095 Å, 90.00 90.00 90.00°
Positions (direct):
Dy (0.0000, 0.0000, 0.7880)
Dy (0.0000, 0.0000, 0.5957)
Dy (0.0000, 0.0000, 0.4043)
Dy (0.0000, 0.0000, 0.2120)
Ac (0.0000, 0.0000, 0.0000)
Zn (0.5000, 0.5000, 0.5000)
Zn (0.5000, 0.5000, 0.1215)
Zn (0.5000, 0.5000, 0.3069)
Zn (0.5000, 0.5000, 0.6931)
Zn (0.5000, 0.5000, 0.8785)

Properties
- Formation energy from the elements: -0.306 eV per atom

# TlRe2Os

A relaxed TlRe2Os crystal (PBE-GGA, the Alexandria database).

Cell: 2.8148 2.8148 9.7600 Å, 90.00 90.00 117.81°
Positions (direct):
Tl (0.0000, 0.0000, 0.5021)
Re (0.0000, 0.0000, 0.9994)
Re (0.5000, 0.5000, 0.2246)
Os (0.5000, 0.5000, 0.7739)

Properties
- Formation energy from the elements: 0.845 eV per atom
- Energy above the lowest structure with this stoichiometry: 25.1 kJ per mole of atoms

# K2Sc2SnS6

A relaxed K2Sc2SnS6 crystal (PBE-GGA, the Alexandria database).

Cell: 6.5538 6.5538 7.8674 Å, 97.99 97.99 120.17°
Positions (direct):
Sc (0.6679, 0.3321, 0.5000)
Sc (0.3321, 0.6679, 0.5000)
S (0.3962, 0.0644, 0.6898)
S (0.0644, 0.3962, 0.6898)
S (0.7340, 0.7340, 0.6882)
S (0.9356, 0.6038, 0.3102)
S (0.6038, 0.9356, 0.3102)
S (0.2660, 0.2660, 0.3118)
Sn (0.0000, 0.0000, 0.5000)
K (0.8328, 0.1672, 0.0000)
K (0.1672, 0.8328, 0.0000)

Properties
- Energy relative to the elements, uncorrected: -1.392 eV per atom

# PrThIrPt

A relaxed PrThIrPt crystal (PBE-GGA, the Alexandria database).

Cell: 3.9249 4.3214 6.0352 Å, 90.00 108.98 90.00°
Positions (direct):
Pr (0.1416, 0.0000, 0.2833)
Th (0.8668, 0.5000, 0.7336)
Pt (0.5891, 0.5000, 0.1783)
Ir (0.4024, 0.0000, 0.8048)

Properties
- Formation energy from the elements: -1.027 eV per atom
- Energy above the lowest structure with this stoichiometry: 0.0 kJ per mole of atoms

# Ba2ZnAu

A relaxed Ba2ZnAu crystal (PBE-GGA, the Alexandria database).

Cell: 4.6999 4.6982 8.8205 Å, 74.59 74.55 59.99°
Positions (direct):
Ba (0.7174, 0.4805, 0.0847)
Ba (0.8877, 0.6505, 0.5740)
Zn (0.1360, 0.8990, 0.8291)
Au (0.4693, 0.2319, 0.8296)

Properties
- Formation energy from the elements: -0.454 eV per atom

# MnAlNi2

A relaxed MnAlNi2 crystal (PBE-GGA, the Alexandria database).

Cell: 3.0556 3.0556 5.2706 Å, 90.00 90.00 90.00°
Last column: magnetic moment on the atom in μB.
Positions (direct):
Ni (0.5000, 0.5000, 0.2579)  0.07
Ni (0.0000, 0.0000, 0.9895)  0.52
Mn (0.5000, 0.5000, 0.7746)  3.10
Al (0.0000, 0.0000, 0.4781)  -0.04

Properties
- Formation energy from the elements: -0.228 eV per atom